Model A:
This record from the Alexandria database describes a relaxed KBiCl3 crystal. The functional is GGA-PBE.

a = 5.524 Å, b = 5.524 Å, c = 5.524 Å
α = 90.00°, β = 90.00°, γ = 90.00°
Space group Pm-3m (No. 221)
One atom of each set of equivalent atoms:
K (0.000, 0.000, 0.000) x1
Bi (0.500, 0.500, 0.500) x1
Cl (0.000, 0.000, 0.500) x3

DOS at the Fermi energy	0.4809	states/eV/atom



Model B:
This record from the Alexandria database describes a relaxed KBiCl3 crystal. The functional is GGA-PBE.

a = 5.657 Å, b = 5.657 Å, c = 5.657 Å
α = 90.00°, β = 90.00°, γ = 90.00°
Space group Pm-3m (No. 221)
One atom of each set of equivalent atoms:
K (0.000, 0.000, 0.000) x1
Bi (0.500, 0.500, 0.500) x1
Cl (0.000, 0.500, 0.500) x3

DOS at the Fermi energy	0.1689	states/eV/atom



model B (0.733 eV/atom below the next structure)



Model A:
This record from the Alexandria database describes a relaxed KBi2Cl8 crystal. The functional is GGA-PBE.

a = 8.719 Å, b = 13.677 Å, c = 5.342 Å
α = 90.00°, β = 90.00°, γ = 90.00°
Space group Cmmm (No. 65)
One atom of each set of equivalent atoms:
K (0.000, 0.000, 0.000) x2
Bi (0.000, 0.296, 0.500) x4
Cl (0.000, 0.249, 0.000) x4
Cl (0.000, 0.500, 0.246) x4
Cl (0.189, 0.134, 0.500) x8

DOS at the Fermi energy	0.1266	states/eV/atom



Model B:
This record from the Alexandria database describes a relaxed KBi2Cl8 crystal. The functional is GGA-PBE.

a = 11.229 Å, b = 8.427 Å, c = 7.830 Å
α = 90.00°, β = 100.28°, γ = 90.00°
Space group C2/m (No. 12)
One atom of each set of equivalent atoms:
K (0.000, 0.000, 0.000) x2
Bi (0.178, 0.500, 0.433) x4
Cl (0.062, 0.500, 0.727) x4
Cl (0.126, 0.183, 0.370) x8
Cl (0.244, 0.000, 0.854) x4

DOS at the Fermi energy	0.9005	states/eV/atom



model A (0.036 eV/atom below the next structure)



Model A:
This record from the Alexandria database describes a relaxed KBiCl4 crystal. The functional is GGA-PBE.

a = 8.747 Å, b = 17.264 Å, c = 7.329 Å
α = 90.00°, β = 118.95°, γ = 90.00°
Space group C2/c (No. 15)
One atom of each set of equivalent atoms:
K (0.000, 0.176, 0.250) x4
Bi (0.000, 0.434, 0.250) x4
Cl (0.197, 0.444, 0.678) x8
Cl (0.216, 0.328, 0.258) x8

DOS at the Fermi energy	0.0000	states/eV/atom



Model B:
This record from the Alexandria database describes a relaxed KBiCl4 crystal. The functional is GGA-PBE.

a = 7.828 Å, b = 6.980 Å, c = 7.429 Å
α = 90.00°, β = 100.33°, γ = 90.00°
Space group P2_1/c (No. 14)
One atom of each set of equivalent atoms:
K (0.000, 0.000, 0.000) x2
Bi (0.500, 0.000, 0.500) x2
Cl (0.180, 0.137, 0.388) x4
Cl (0.379, 0.682, 0.287) x4

DOS at the Fermi energy	0.0000	states/eV/atom



model A (0.028 eV/atom below the next structure)



Model A:
This record from the Alexandria database describes a relaxed K2Bi2Cl crystal. The functional is GGA-PBE.

a = 6.911 Å, b = 6.911 Å, c = 9.800 Å
α = 90.00°, β = 90.00°, γ = 90.00°
Space group I4/mmm (No. 139)
One atom of each set of equivalent atoms:
K (0.000, 0.500, 0.250) x4
Bi (0.000, 0.000, 0.141) x4
Cl (0.000, 0.000, 0.500) x2

DOS at the Fermi energy	0.8557	states/eV/atom



Model B:
This record from the Alexandria database describes a relaxed K2Bi2Cl crystal. The functional is GGA-PBE.

a = 4.445 Å, b = 4.445 Å, c = 19.571 Å
α = 90.00°, β = 90.00°, γ = 90.00°
Space group I4/mmm (No. 139)
One atom of each set of equivalent atoms:
K (0.000, 0.000, 0.092) x4
Bi (0.000, 0.500, 0.250) x4
Cl (0.000, 0.000, 0.500) x2

DOS at the Fermi energy	0.3131	states/eV/atom



model B (0.434 eV/atom below the next structure)



Model A:
This record from the Alexandria database describes a relaxed K2Bi2Cl7 crystal. The functional is GGA-PBE.

a = 9.922 Å, b = 12.334 Å, c = 7.394 Å
α = 90.00°, β = 92.60°, γ = 90.00°
Space group C2/m (No. 12)
One atom of each set of equivalent atoms:
K (0.000, 0.205, 0.000) x4
Bi (0.228, 0.000, 0.583) x4
Cl (0.000, 0.500, 0.500) x2
Cl (0.073, 0.000, 0.268) x4
Cl (0.235, 0.320, 0.230) x8

DOS at the Fermi energy	0.3365	states/eV/atom



Model B:
This record from the Alexandria database describes a relaxed K2Bi2Cl7 crystal. The functional is GGA-PBE.

a = 11.703 Å, b = 9.146 Å, c = 7.037 Å
α = 90.00°, β = 94.10°, γ = 90.00°
Space group C2/m (No. 12)
One atom of each set of equivalent atoms:
K (0.000, 0.247, 0.000) x4
Bi (0.245, 0.000, 0.564) x4
Cl (0.000, 0.000, 0.500) x2
Cl (0.048, 0.500, 0.275) x4
Cl (0.225, 0.271, 0.737) x8

DOS at the Fermi energy	0.3159	states/eV/atom



model B (0.007 eV/atom below the next structure)



Model A:
This record from the Alexandria database describes a relaxed K2LiBiCl6 crystal. The functional is GGA-PBE.

a = 7.280 Å, b = 7.539 Å, c = 12.593 Å
α = 90.00°, β = 124.98°, γ = 90.00°
Space group P2_1/c (No. 14)
One atom of each set of equivalent atoms:
K (0.231, 0.065, 0.249) x4
Li (0.000, 0.000, 0.500) x2
Bi (0.500, 0.000, 0.000) x2
Cl (0.151, 0.206, 0.952) x4
Cl (0.251, 0.701, 0.955) x4
Cl (0.334, 0.022, 0.743) x4

DOS at the Fermi energy	0.0000	states/eV/atom



Model B:
This record from the Alexandria database describes a relaxed K2LiBiCl6 crystal. The functional is GGA-PBE.

a = 10.543 Å, b = 10.543 Å, c = 10.543 Å
α = 90.00°, β = 90.00°, γ = 90.00°
Space group Fm-3m (No. 225)
One atom of each set of equivalent atoms:
K (0.250, 0.250, 0.250) x8
Li (0.000, 0.000, 0.000) x4
Bi (0.000, 0.000, 0.500) x4
Cl (0.000, 0.000, 0.243) x24

DOS at the Fermi energy	0.0000	states/eV/atom



model A (0.033 eV/atom below the next structure)



Model A:
This record from the Alexandria database describes a relaxed KBiPCl2 crystal. The functional is GGA-PBE.

a = 5.417 Å, b = 5.417 Å, c = 5.957 Å
α = 90.00°, β = 90.00°, γ = 90.00°
Space group P4/mmm (No. 123)
One atom of each set of equivalent atoms:
K (0.000, 0.000, 0.000) x1
Bi (0.500, 0.500, 0.500) x1
P (0.000, 0.000, 0.500) x1
Cl (0.000, 0.500, 0.000) x2

DOS at the Fermi energy	0.3014	states/eV/atom



Model B:
This record from the Alexandria database describes a relaxed KBiPCl2 crystal. The functional is GGA-PBE.

a = 5.654 Å, b = 5.654 Å, c = 5.358 Å
α = 90.00°, β = 90.00°, γ = 90.00°
Space group P4/mmm (No. 123)
One atom of each set of equivalent atoms:
K (0.000, 0.000, 0.000) x1
Bi (0.500, 0.500, 0.500) x1
P (0.500, 0.500, 0.000) x1
Cl (0.000, 0.500, 0.500) x2

DOS at the Fermi energy	0.8119	states/eV/atom



model B (0.825 eV/atom below the next structure)



Model A:
This record from the Alexandria database describes a relaxed K2RbBiCl6 crystal. The functional is GGA-PBE.

a = 11.620 Å, b = 11.620 Å, c = 11.620 Å
α = 90.00°, β = 90.00°, γ = 90.00°
Space group Fm-3m (No. 225)
One atom of each set of equivalent atoms:
K (0.250, 0.250, 0.250) x8
Rb (0.000, 0.000, 0.000) x4
Bi (0.000, 0.000, 0.500) x4
Cl (0.000, 0.000, 0.267) x24

DOS at the Fermi energy	0.0000	states/eV/atom



Model B:
This record from the Alexandria database describes a relaxed K2RbBiCl6 crystal. The functional is GGA-PBE.

a = 7.8520 Å, b = 7.8520 Å, c = 20.5286 Å
α = 90.00°, β = 90.00°, γ = 120.00°
Space group R3 (No. 146, hexagonal axes)
One atom of each set of equivalent atoms:
K (0.0000, 0.0000, 0.0000) x3
K (0.0000, 0.0000, 0.4881) x3
Rb (0.0000, 0.0000, 0.2059) x3
Bi (0.0000, 0.0000, 0.6941) x3
Cl (0.0159, 0.3848, 0.4307) x9
Cl (0.0640, 0.6680, 0.2768) x9

DOS at the Fermi energy	0.0000	states/eV/atom



model B (0.102 eV/atom below the next structure)